No. 1
# YCoAsH2

Crystalline YCoAsH2 at its relaxed geometry (GGA-PBE, Alexandria via LeMat-Bulk).

Properties
* energy: -5.59 eV/atom
* symmetry: No. 63

a = 3.732 Å, b = 5.378 Å, c = 6.150 Å
α = 90.00°, β = 90.00°, γ = 110.30°
Site moments in Bohr magnetons follow the coordinates.
Atoms (fractional coordinates):
Co (0.000, 0.000, 0.000)  0.06
H (0.842, 0.683, 0.055)  0.00
As (0.438, 0.876, 0.750)  0.00
Y (0.716, 0.432, 0.750)  0.01
Y (0.284, 0.568, 0.250)  0.01
As (0.562, 0.124, 0.250)  0.00
Co (0.000, 0.000, 0.500)  0.06
H (0.158, 0.317, 0.945)  0.00
H (0.842, 0.683, 0.445)  0.00
H (0.158, 0.317, 0.555)  0.00



No. 2
# Zr2CoAsH

Crystalline Zr2CoAsH at its relaxed geometry (GGA-PBE, Alexandria via LeMat-Bulk).

Properties
* energy: -6.91 eV/atom
* symmetry: No. 123

a = 4.403 Å, b = 4.403 Å, c = 3.695 Å
α = 90.00°, β = 90.00°, γ = 90.00°
Site moments in Bohr magnetons follow the coordinates.
Atoms (fractional coordinates):
Co (0.000, 0.000, 0.500)  1.00
Zr (0.500, 0.000, 0.000)  0.05
Zr (0.000, 0.500, 0.000)  0.05
H (0.000, 0.000, 0.000)  0.00
As (0.500, 0.500, 0.500)  0.03



No. 3
# ZrCo2AsH

Crystalline ZrCo2AsH at its relaxed geometry (GGA-PBE, Alexandria via LeMat-Bulk).

Properties
* energy: -6.41 eV/atom
* symmetry: No. 123

a = 3.821 Å, b = 3.821 Å, c = 4.122 Å
α = 90.00°, β = 90.00°, γ = 90.00°
Site moments in Bohr magnetons follow the coordinates.
Atoms (fractional coordinates):
H (0.000, 0.000, 0.000)  0.00
Zr (0.000, 0.000, 0.500)  -0.04
Co (0.500, 0.000, 0.000)  0.98
As (0.500, 0.500, 0.500)  0.04
Co (0.000, 0.500, 0.000)  0.98



No. 4
# HfCoAs

Crystalline HfCoAs at its relaxed geometry (GGA-PBE, Alexandria via LeMat-Bulk).

Properties
* ΔH_f (0 K): -0.68 eV/atom
* symmetry: No. 63

a = 3.906 Å, b = 7.166 Å, c = 6.744 Å
α = 90.00°, β = 90.00°, γ = 90.00°
Atoms (fractional coordinates):
As (0.250, 0.750, 0.084)
Hf (0.250, 0.500, 0.750)
Hf (0.250, 0.000, 0.750)
As (0.750, 0.750, 0.584)
Co (0.750, 0.750, 0.918)
Co (0.750, 0.250, 0.582)
Co (0.250, 0.750, 0.418)
As (0.750, 0.250, 0.916)
As (0.250, 0.250, 0.416)
Hf (0.750, 0.000, 0.250)
Hf (0.750, 0.500, 0.250)
Co (0.250, 0.250, 0.082)



No. 5
# HfCoAs

Crystalline HfCoAs at its relaxed geometry (GGA-PBE, Alexandria via LeMat-Bulk).

Properties
* ΔH_f (0 K): -0.31 eV/atom
* symmetry: No. 107

a = 3.096 Å, b = 3.096 Å, c = 5.319 Å
α = 106.92°, β = 106.92°, γ = 90.00°
Atoms (fractional coordinates):
As (0.312, 0.312, 0.623)
Co (0.928, 0.928, 0.857)
Hf (0.610, 0.610, 0.220)



No. 6
# Hf5CoAs2

Crystalline Hf5CoAs2 at its relaxed geometry (GGA-PBE, Alexandria via LeMat-Bulk).

Properties
* ΔH_f (0 K): -0.26 eV/atom
* symmetry: No. 63

a = 5.269 Å, b = 5.845 Å, c = 12.025 Å
α = 90.00°, β = 90.00°, γ = 116.79°
Atoms (fractional coordinates):
Hf (0.928, 0.855, 0.616)
Hf (0.618, 0.236, 0.564)
Hf (0.363, 0.725, 0.750)
As (0.814, 0.628, 0.088)
Co (0.247, 0.494, 0.250)
Hf (0.072, 0.145, 0.116)
As (0.186, 0.372, 0.588)
Hf (0.072, 0.145, 0.384)
Hf (0.618, 0.236, 0.936)
Co (0.753, 0.506, 0.750)
Hf (0.382, 0.764, 0.064)
Hf (0.382, 0.764, 0.436)
As (0.814, 0.628, 0.412)
As (0.186, 0.372, 0.912)
Hf (0.637, 0.275, 0.250)
Hf (0.928, 0.855, 0.884)



| no. | total magnetization (μB/cell) | density of states at the Fermi level (states/eV/cell) |
| --- | --- | --- |
| 1 | 0.12 | 5.75 |
| 2 | 1.16 | 3.66 |
| 3 | 1.91 | 4.33 |
| 4 | 0.00 | 7.23 |
| 5 | 0.00 | 2.07 |
| 6 | 0.00 | 10.82 |